VASP calculation (PBE-GGA) on a geometry-optimized PrTm3Sc structure.

Properties
E_form in eV/atom: 0.021
V in Å³/cell: 606.1
Energy in eV per cell: -97.7

The structure in POSCAR format:
```
PrTm3Sc
1.0
-5.0784 -3.3562 0.8664
4.3998 -5.1092 5.9975
-5.0438 9.0141 5.3540
Tm Pr Sc
12 4 4
Direct
0.8303 0.4518 0.0959
0.8375 0.6514 0.7049
0.3303 0.0482 0.4041
0.3375 0.8486 0.7951
0.6641 0.3499 0.7979
0.3359 0.6501 0.2021
0.6697 0.9518 0.5959
0.1625 0.3486 0.2951
0.1697 0.5482 0.9041
0.6625 0.1514 0.2049
0.1641 0.1501 0.7021
0.8359 0.8499 0.2979
0.6737 0.5517 0.4028
0.8263 0.0517 0.9028
0.3263 0.4483 0.5972
0.1737 0.9483 0.0972
0.8348 0.2439 0.4996
0.1652 0.7561 0.5004
0.3348 0.2561 0.0004
0.6652 0.7439 0.9996
```